No. 1
Compound: LiPIr3
Source: Alexandria via LeMat-Bulk
Functional: meta-GGA SCAN
Structure: single point on PBEsol structure

Its space-group type is No. 221. The value obtained for the uncorrected energy is -3.298 Ry per atom. The energy of formation is 0.349 eV per atom.

a b c (Å): 4.348 4.348 4.348
angles (deg): 90.00 90.00 90.00
Element x y z (fractional)
P 0.000 0.000 0.000
Ir 0.000 0.500 0.000
Ir 0.000 0.000 0.500
Ir 0.500 0.000 0.000
Li 0.500 0.500 0.500

---

No. 2
Compound: LiPIr2
Source: Alexandria via LeMat-Bulk
Functional: meta-GGA SCAN
Structure: single point on PBEsol structure

Its space-group type is No. 8. The value obtained for the uncorrected energy is -2.872 Ry per atom. The energy of formation is -0.334 eV per atom.

a b c (Å): 2.836 4.353 4.502
angles (deg): 107.12 108.36 90.00
Element x y z (fractional)
Ir 0.999 0.928 0.998
Ir 0.750 0.345 0.499
Li 0.496 0.441 0.992
P 0.256 0.787 0.511

---

No. 3
Compound: Li2P2Ir
Source: Alexandria via LeMat-Bulk
Functional: meta-GGA SCAN
Structure: single point on PBEsol structure

Its space-group type is No. 127. The value obtained for the uncorrected energy is -1.485 Ry per atom. The energy of formation is -0.868 eV per atom.

a b c (Å): 4.120 5.866 5.866
angles (deg): 90.00 90.00 90.00
Element x y z (fractional)
P 0.000 0.369 0.869
P 0.000 0.869 0.631
P 0.000 0.631 0.131
P 0.000 0.131 0.369
Ir 0.000 0.000 0.000
Ir 0.000 0.500 0.500
Li 0.500 0.182 0.682
Li 0.500 0.682 0.818
Li 0.500 0.818 0.318
Li 0.500 0.318 0.182

---

No. 4
Compound: LiIrPb
Source: Alexandria via LeMat-Bulk
Functional: meta-GGA SCAN
Structure: single point on PBEsol structure

Its space-group type is No. 216. The value obtained for the uncorrected energy is -3.653 Ry per atom. The energy of formation is 0.060 eV per atom.

a b c (Å): 4.394 4.394 4.394
angles (deg): 60.00 60.00 60.00
Element x y z (fractional)
Ir 0.250 0.250 0.250
Li 0.000 0.000 0.000
Pb 0.500 0.500 0.500

---

No. 5
Compound: LiIrPb2
Source: Alexandria via LeMat-Bulk
Functional: meta-GGA SCAN
Structure: single point on PBEsol structure

Its space-group type is No. 216. The value obtained for the uncorrected energy is -4.109 Ry per atom. The energy of formation is 0.361 eV per atom.

a b c (Å): 4.876 4.876 4.876
angles (deg): 60.00 60.00 60.00
Element x y z (fractional)
Ir 0.500 0.500 0.500
Li 0.250 0.250 0.250
Pb 0.000 0.000 0.000
Pb 0.750 0.750 0.750

---

No. 6
Compound: LiIrPb2
Source: Alexandria via LeMat-Bulk
Functional: meta-GGA SCAN
Structure: single point on PBEsol structure

Its space-group type is No. 123. The value obtained for the uncorrected energy is -4.128 Ry per atom. The energy of formation is 0.094 eV per atom.

a b c (Å): 3.375 3.375 7.276
angles (deg): 90.00 90.00 90.00
Element x y z (fractional)
Ir 0.500 0.500 0.000
Li 0.500 0.500 0.500
Pb 0.000 0.000 0.773
Pb 0.000 0.000 0.227

---

No. 7
Compound: LiIrPb2
Source: Alexandria via LeMat-Bulk
Functional: meta-GGA SCAN
Structure: single point on PBEsol structure

Its space-group type is No. 38. The value obtained for the uncorrected energy is -4.131 Ry per atom. The energy of formation is 0.055 eV per atom.

a b c (Å): 3.726 4.300 5.313
angles (deg): 90.00 110.52 90.00
Element x y z (fractional)
Ir 0.694 0.000 0.389
Li 0.552 0.500 0.103
Pb 0.985 0.000 0.970
Pb 0.271 0.500 0.541

---

No. 8
Compound: LiIr2Pb
Source: Alexandria via LeMat-Bulk
Functional: meta-GGA SCAN
Structure: single point on PBEsol structure

Its space-group type is No. 123. The value obtained for the uncorrected energy is -4.035 Ry per atom. The energy of formation is 0.197 eV per atom.

a b c (Å): 3.947 3.969 3.969
angles (deg): 90.00 90.00 90.00
Element x y z (fractional)
Ir 0.000 0.000 0.500
Ir 0.000 0.500 0.000
Li 0.500 0.500 0.500
Pb 0.500 0.000 0.000

---

No. 9
Compound: LiIrPb4
Source: Alexandria via LeMat-Bulk
Functional: meta-GGA SCAN
Structure: single point on PBEsol structure

Its space-group type is No. 216. The value obtained for the uncorrected energy is -4.558 Ry per atom. The energy of formation is 0.753 eV per atom.

a b c (Å): 6.131 6.131 6.131
angles (deg): 60.00 60.00 60.00
Element x y z (fractional)
Ir 0.750 0.750 0.750
Li 0.000 0.000 0.000
Pb 0.376 0.376 0.376
Pb 0.376 0.376 0.872
Pb 0.872 0.376 0.376
Pb 0.376 0.872 0.376

---

No. 10
Compound: LiIr2Pb
Source: Alexandria via LeMat-Bulk
Functional: meta-GGA SCAN
Structure: single point on PBEsol structure

Its space-group type is No. 8. The value obtained for the uncorrected energy is -4.035 Ry per atom. The energy of formation is 0.196 eV per atom.

a b c (Å): 2.920 4.664 5.092
angles (deg): 98.65 90.00 108.24
Element x y z (fractional)
Ir 0.007 0.014 0.049
Ir 0.745 0.490 0.237
Li 0.493 0.986 0.475
Pb 0.255 0.510 0.738

---

No. 11
Compound: Li2IrPb
Source: Alexandria via LeMat-Bulk
Functional: meta-GGA SCAN
Structure: single point on PBEsol structure

Its space-group type is No. 99. The value obtained for the uncorrected energy is -2.791 Ry per atom. The energy of formation is -0.059 eV per atom.

a b c (Å): 3.297 3.297 6.044
angles (deg): 90.00 90.00 90.00
Element x y z (fractional)
Ir 0.500 0.500 0.776
Li 0.000 0.000 0.985
Li 0.500 0.500 0.221
Pb 0.000 0.000 0.517

---

No. 12
Compound: LiIrPb2
Source: Alexandria via LeMat-Bulk
Functional: meta-GGA SCAN
Structure: single point on PBEsol structure

Its space-group type is No. 166. The value obtained for the uncorrected energy is -4.123 Ry per atom. The energy of formation is 0.170 eV per atom.

a b c (Å): 3.402 3.402 8.847
angles (deg): 78.91 78.91 60.00
Element x y z (fractional)
Ir 0.500 0.500 0.500
Li 0.000 0.000 0.000
Pb 0.243 0.243 0.271
Pb 0.757 0.757 0.729

---

Which of these has the highest energy of formation?
LiIrPb4